Entry 1:
Density functional theory data (PBE) for a relaxed structure of Tb2PrSm5Sc.

```
data_Tb2PrSm5Sc
_cell_length_a 5.6481
_cell_length_b 20.1233
_cell_length_c 10.4899
_cell_angle_alpha 90.00
_cell_angle_beta 90.00
_cell_angle_gamma 90.00
_space_group_name_H-M_alt 'C m c 21'
_space_group_IT_number 36
_space_group_name_Hall 'C 2c -2'
loop_
_atom_site_label
_atom_site_type_symbol
_atom_site_fract_x
_atom_site_fract_y
_atom_site_fract_z
Tb1 Tb 0.0000 0.1130 0.0000
Tb2 Tb 0.0000 0.1153 0.4223
Pr1 Pr 0.0000 0.4106 0.1441
Sm1 Sm 0.0000 0.0173 0.7042
Sm2 Sm 0.0000 0.2762 0.0088
Sm3 Sm 0.0000 0.2973 0.3933
Sm4 Sm 0.0000 0.3746 0.7064
Sm5 Sm 0.0000 0.4831 0.4288
Sc1 Sc 0.0000 0.1953 0.7016
```

Output
DFT formation energy (meV/atom): 164.1


Entry 2:
Density functional theory data (PBE) for a relaxed structure of Cs3Rb2BaBr6.

```
data_Cs3Rb2BaBr6
_cell_length_a 22.2714
_cell_length_b 5.0808
_cell_length_c 10.2900
_cell_angle_alpha 90.00
_cell_angle_beta 104.05
_cell_angle_gamma 90.00
_space_group_name_H-M_alt 'C 1 2/m 1'
_space_group_IT_number 12
_space_group_name_Hall '-C 2y'
loop_
_atom_site_label
_atom_site_type_symbol
_atom_site_fract_x
_atom_site_fract_y
_atom_site_fract_z
Cs1 Cs 0.0000 0.0000 0.0000
Cs2 Cs 0.1693 0.5000 0.3295
Rb1 Rb 0.1672 0.5000 0.8376
Ba1 Ba 0.0000 0.0000 0.5000
Br1 Br 0.0018 0.5000 0.7164
Br2 Br 0.1534 0.0000 0.5845
Br3 Br 0.1699 0.0000 0.0754
```

Output
Energy relative to the elements, uncorrected (eV per atom): -1.706


Entry 3:
Density functional theory data (PBE) for a relaxed structure of NbNiN.

```
data_NbNiN
_cell_length_a 2.9218
_cell_length_b 2.8687
_cell_length_c 16.6523
_cell_angle_alpha 90.00
_cell_angle_beta 90.00
_cell_angle_gamma 90.00
_space_group_name_H-M_alt 'A m m 2'
_space_group_IT_number 38
_space_group_name_Hall 'A 2 -2'
loop_
_atom_site_label
_atom_site_type_symbol
_atom_site_fract_x
_atom_site_fract_y
_atom_site_fract_z
Nb1 Nb 0.0000 0.0000 0.0000
Nb2 Nb 0.5000 0.0000 0.1581
Ni1 Ni 0.0000 0.0000 0.7683
Ni2 Ni 0.5000 0.0000 0.3509
N1 N 0.0000 0.0000 0.6038
N2 N 0.5000 0.0000 0.4614
```

Output
Energy relative to the elements, uncorrected (eV per atom): -0.530


Entry 4:
Density functional theory data (PBE) for a relaxed structure of YHf3Si.

```
data_YHf3Si
_cell_length_a 5.1131
_cell_length_b 5.1131
_cell_length_c 5.1131
_cell_angle_alpha 90.00
_cell_angle_beta 90.00
_cell_angle_gamma 90.00
_space_group_name_H-M_alt 'P m -3 m'
_space_group_IT_number 221
_space_group_name_Hall '-P 4 2 3'
loop_
_atom_site_label
_atom_site_type_symbol
_atom_site_fract_x
_atom_site_fract_y
_atom_site_fract_z
Y1 Y 0.0000 0.0000 0.0000
Hf1 Hf 0.0000 0.0000 0.5000
Si1 Si 0.5000 0.5000 0.5000
```

Output
Energy relative to the elements, uncorrected (eV per atom): 1.827


Entry 5:
Density functional theory data (PBE) for a relaxed structure of Ba3Hg2Bi2Sb4.

```
data_Ba3Hg2Bi2Sb4
_cell_length_a 5.1980
_cell_length_b 5.1980
_cell_length_c 17.6424
_cell_angle_alpha 90.00
_cell_angle_beta 90.00
_cell_angle_gamma 120.00
_space_group_name_H-M_alt 'P -3 m 1'
_space_group_IT_number 164
_space_group_name_Hall '-P 3 2"'
loop_
_atom_site_label
_atom_site_type_symbol
_atom_site_fract_x
_atom_site_fract_y
_atom_site_fract_z
Ba1 Ba 0.0000 0.0000 0.0000
Ba2 Ba 0.0000 0.0000 0.2591
Hg1 Hg 0.3333 0.6667 0.1573
Bi1 Bi 0.3333 0.6667 0.5942
Sb1 Sb 0.3333 0.6667 0.3763
Sb2 Sb 0.3333 0.6667 0.8784
```

Output
Energy relative to the elements, uncorrected (eV per atom): -0.480


Entry 6:
Density functional theory data (PBE) for a relaxed structure of Rb5Cd2Au.

```
data_Rb5Cd2Au
_cell_length_a 4.8069
_cell_length_b 17.7027
_cell_length_c 21.7622
_cell_angle_alpha 90.00
_cell_angle_beta 90.00
_cell_angle_gamma 90.00
_space_group_name_H-M_alt 'C m c m'
_space_group_IT_number 63
_space_group_name_Hall '-C 2c 2'
loop_
_atom_site_label
_atom_site_type_symbol
_atom_site_fract_x
_atom_site_fract_y
_atom_site_fract_z
Rb1 Rb 0.0000 0.0777 0.2500
Rb2 Rb 0.0000 0.1512 0.0586
Rb3 Rb 0.0000 0.3997 0.1307
Cd1 Cd 0.0000 0.2581 0.6780
Au1 Au 0.0000 0.2641 0.2500
```

Output
DFT formation energy (meV/atom): -77.4


Entry 7:
Density functional theory data (PBE) for a relaxed structure of ZnPd3Au12.

```
data_ZnPd3Au12
_cell_length_a 4.1642
_cell_length_b 4.1642
_cell_length_c 15.9467
_cell_angle_alpha 90.00
_cell_angle_beta 90.00
_cell_angle_gamma 90.00
_space_group_name_H-M_alt 'P 4/m m m'
_space_group_IT_number 123
_space_group_name_Hall '-P 4 2'
loop_
_atom_site_label
_atom_site_type_symbol
_atom_site_fract_x
_atom_site_fract_y
_atom_site_fract_z
Zn1 Zn 0.0000 0.0000 0.0000
Pd1 Pd 0.0000 0.0000 0.2489
Pd2 Pd 0.0000 0.0000 0.5000
Au1 Au 0.0000 0.5000 0.1231
Au2 Au 0.0000 0.5000 0.3745
Au3 Au 0.5000 0.5000 0.0000
Au4 Au 0.5000 0.5000 0.2493
Au5 Au 0.5000 0.5000 0.5000
```

Output
DFT formation energy (meV/atom): -78.4


Entry 8:
Density functional theory data (PBE) for a relaxed structure of NiAs2.

```
data_NiAs2
_cell_length_a 6.6764
_cell_length_b 6.6764
_cell_length_c 3.6886
_cell_angle_alpha 90.00
_cell_angle_beta 90.00
_cell_angle_gamma 120.00
_space_group_name_H-M_alt 'P -6 2 m'
_space_group_IT_number 189
_space_group_name_Hall 'P -6 -2'
loop_
_atom_site_label
_atom_site_type_symbol
_atom_site_fract_x
_atom_site_fract_y
_atom_site_fract_z
Ni1 Ni 0.0000 0.0000 0.0000
Ni2 Ni 0.3333 0.6667 0.5000
As1 As 0.0000 0.2779 0.5000
As2 As 0.0000 0.6113 0.0000
```

Output
DFT formation energy (meV/atom): 10.1


Entry 9:
Density functional theory data (PBE) for a relaxed structure of YZn2Ni.

```
data_YZn2Ni
_cell_length_a 5.3388
_cell_length_b 10.1915
_cell_length_c 3.2615
_cell_angle_alpha 90.00
_cell_angle_beta 123.77
_cell_angle_gamma 90.00
_space_group_name_H-M_alt 'C 1 2/m 1'
_space_group_IT_number 12
_space_group_name_Hall '-C 2y'
loop_
_atom_site_label
_atom_site_type_symbol
_atom_site_fract_x
_atom_site_fract_y
_atom_site_fract_z
Y1 Y 0.0000 0.0000 0.0000
Zn1 Zn 0.2500 0.2500 0.5000
Ni1 Ni 0.0000 0.5000 0.0000
```

Output
DFT formation energy (meV/atom): 46.0


Entry 10:
Density functional theory data (PBE) for a relaxed structure of TbDyAgPd.

```
data_TbDyAgPd
_cell_length_a 3.5699
_cell_length_b 3.5699
_cell_length_c 7.2168
_cell_angle_alpha 90.00
_cell_angle_beta 90.00
_cell_angle_gamma 90.00
_space_group_name_H-M_alt 'P 4 m m'
_space_group_IT_number 99
_space_group_name_Hall 'P 4 -2'
loop_
_atom_site_label
_atom_site_type_symbol
_atom_site_fract_x
_atom_site_fract_y
_atom_site_fract_z
Tb1 Tb 0.0000 0.0000 0.0000
Dy1 Dy 0.0000 0.0000 0.5215
Ag1 Ag 0.5000 0.5000 0.2630
Pd1 Pd 0.5000 0.5000 0.7582
```

Output
DFT formation energy (meV/atom): -593.2


Entry 11:
Density functional theory data (PBE) for a relaxed structure of Nb2Sn2Pd.

```
data_Nb2Sn2Pd
_cell_length_a 7.1684
_cell_length_b 7.1684
_cell_length_c 4.0260
_cell_angle_alpha 90.00
_cell_angle_beta 90.00
_cell_angle_gamma 90.00
_space_group_name_H-M_alt 'P 4/m b m'
_space_group_IT_number 127
_space_group_name_Hall '-P 4 2ab'
loop_
_atom_site_label
_atom_site_type_symbol
_atom_site_fract_x
_atom_site_fract_y
_atom_site_fract_z
Nb1 Nb 0.1312 0.3688 0.0000
Sn1 Sn 0.1713 0.6713 0.5000
Pd1 Pd 0.0000 0.0000 0.0000
```

Output
DFT formation energy (meV/atom): 84.7


Entry 12:
Density functional theory data (PBE) for a relaxed structure of CsZrI3.

```
data_CsZrI3
_cell_length_a 5.9227
_cell_length_b 5.9227
_cell_length_c 12.4099
_cell_angle_alpha 90.00
_cell_angle_beta 90.00
_cell_angle_gamma 120.00
_space_group_name_H-M_alt 'P 63/m m c'
_space_group_IT_number 194
_space_group_name_Hall '-P 6c 2c'
loop_
_atom_site_label
_atom_site_type_symbol
_atom_site_fract_x
_atom_site_fract_y
_atom_site_fract_z
Cs1 Cs 0.3333 0.6667 0.2500
Zr1 Zr 0.0000 0.0000 0.0000
I1 I 0.0000 0.0000 0.2500
I2 I 0.3333 0.6667 0.5585
```

Output
Energy relative to the elements, uncorrected (eV per atom): -0.613


Entry 13:
Density functional theory data (PBE) for a relaxed structure of SmY2ScTe4.

```
data_SmY2ScTe4
_cell_length_a 7.5087
_cell_length_b 4.3072
_cell_length_c 7.5771
_cell_angle_alpha 90.00
_cell_angle_beta 109.04
_cell_angle_gamma 90.00
_space_group_name_H-M_alt 'P 1 2/m 1'
_space_group_IT_number 10
_space_group_name_Hall '-P 2y'
loop_
_atom_site_label
_atom_site_type_symbol
_atom_site_fract_x
_atom_site_fract_y
_atom_site_fract_z
Sm1 Sm 0.0000 0.0000 0.0000
Y1 Y 0.5000 0.0000 0.5000
Y2 Y 0.5000 0.5000 0.0000
Sc1 Sc 0.0000 0.5000 0.5000
Te1 Te 0.2421 0.0000 0.7377
Te2 Te 0.2493 0.5000 0.2596
```

Output
Energy relative to the elements, uncorrected (eV per atom): -1.262


Entry 14:
Density functional theory data (PBE) for a relaxed structure of La2TmCd3.

```
data_La2TmCd3
_cell_length_a 3.7238
_cell_length_b 3.7238
_cell_length_c 12.3292
_cell_angle_alpha 90.00
_cell_angle_beta 90.00
_cell_angle_gamma 90.00
_space_group_name_H-M_alt 'P 4/m m m'
_space_group_IT_number 123
_space_group_name_Hall '-P 4 2'
loop_
_atom_site_label
_atom_site_type_symbol
_atom_site_fract_x
_atom_site_fract_y
_atom_site_fract_z
La1 La 0.0000 0.0000 0.1766
Tm1 Tm 0.0000 0.0000 0.5000
Cd1 Cd 0.5000 0.5000 0.0000
Cd2 Cd 0.5000 0.5000 0.3567
```

Output
DFT formation energy (meV/atom): -313.7


Entry 15:
Density functional theory data (PBE) for a relaxed structure of Pt3Au.

```
data_Pt3Au
_cell_length_a 2.8083
_cell_length_b 4.8176
_cell_length_c 4.8450
_cell_angle_alpha 90.00
_cell_angle_beta 90.44
_cell_angle_gamma 90.00
_space_group_name_H-M_alt 'P 1 2/m 1'
_space_group_IT_number 10
_space_group_name_Hall '-P 2y'
loop_
_atom_site_label
_atom_site_type_symbol
_atom_site_fract_x
_atom_site_fract_y
_atom_site_fract_z
Pt1 Pt 0.0000 0.0000 0.0000
Pt2 Pt 0.2378 0.5000 0.7552
Au1 Au 0.5000 0.0000 0.5000
```

Output
DFT formation energy (meV/atom): 49.2


Entry 16:
Density functional theory data (PBE) for a relaxed structure of MnZnRh4.

```
data_MnZnRh4
_cell_length_a 11.2605
_cell_length_b 2.7847
_cell_length_c 5.5265
_cell_angle_alpha 90.00
_cell_angle_beta 104.36
_cell_angle_gamma 90.00
_space_group_name_H-M_alt 'C 1 2/m 1'
_space_group_IT_number 12
_space_group_name_Hall '-C 2y'
loop_
_atom_site_label
_atom_site_type_symbol
_atom_site_fract_x
_atom_site_fract_y
_atom_site_fract_z
Mn1 Mn 0.0000 0.0000 0.0000
Zn1 Zn 0.0000 0.0000 0.5000
Rh1 Rh 0.1628 0.5000 0.3288
Rh2 Rh 0.1641 0.5000 0.8340
```

Output
DFT formation energy (meV/atom): -126.0


Entry 17:
Density functional theory data (PBE) for a relaxed structure of Nd7Sm2Tl2.

```
data_Nd7Sm2Tl2
_cell_length_a 3.7236
_cell_length_b 20.5101
_cell_length_c 9.9993
_cell_angle_alpha 90.00
_cell_angle_beta 90.00
_cell_angle_gamma 90.00
_space_group_name_H-M_alt 'I m m 2'
_space_group_IT_number 44
_space_group_name_Hall 'I 2 -2'
loop_
_atom_site_label
_atom_site_type_symbol
_atom_site_fract_x
_atom_site_fract_y
_atom_site_fract_z
Nd1 Nd 0.0000 0.0000 0.0000
Nd2 Nd 0.0000 0.1291 0.5330
Nd3 Nd 0.0000 0.3378 0.3357
Nd4 Nd 0.0000 0.3635 0.7082
Sm1 Sm 0.0000 0.0000 0.3418
Sm2 Sm 0.0000 0.5000 0.1828
Tl1 Tl 0.0000 0.2449 0.0462
```

Output
DFT formation energy (meV/atom): -28.3